No. 1
{
  "formula": "TbThAl4",
  "functional": "PBE-GGA",
  "state": "optimized geometry",
  "delta_e_f_ev_per_fu": -2.7,
  "sg": "Immm (71)",
  "n_ef_per_ev_atom": 0.280,
  "lattice_angstrom": [[-2.293, 3.638, 3.978], [2.293, -3.638, 3.978], [2.293, 3.638, -3.978]],
  "species": ["Tb", "Th", "Al", "Al", "Al", "Al"],
  "frac_coords": [[0.000, 0.000, 0.000], [0.500, 0.000, 0.500], [0.080, 0.334, 0.747], [0.413, 0.666, 0.747], [0.587, 0.334, 0.253], [0.920, 0.666, 0.253]]
}

---

No. 2
{
  "formula": "TbThAl4",
  "functional": "PBE-GGA",
  "state": "optimized geometry",
  "delta_e_f_ev_per_fu": -2.8,
  "sg": "F-43m (216)",
  "n_ef_per_ev_atom": 0.404,
  "lattice_angstrom": [[0.000, 3.990, 3.990], [3.990, 0.000, 3.990], [3.990, 3.990, 0.000]],
  "species": ["Tb", "Th", "Al", "Al", "Al", "Al"],
  "frac_coords": [[0.000, 0.000, 0.000], [0.750, 0.750, 0.750], [0.375, 0.375, 0.375], [0.375, 0.375, 0.874], [0.375, 0.874, 0.375], [0.874, 0.375, 0.375]]
}

---

No. 3
{
  "formula": "TbThTiAl",
  "functional": "PBE-GGA",
  "state": "optimized geometry",
  "delta_e_f_ev_per_fu": 0.0,
  "sg": "F-43m (216)",
  "n_ef_per_ev_atom": 1.935,
  "lattice_angstrom": [[0.000, 3.686, 3.686], [3.686, 0.000, 3.686], [3.686, 3.686, 0.000]],
  "species": ["Tb", "Th", "Ti", "Al"],
  "frac_coords": [[0.000, 0.000, 0.000], [0.500, 0.500, 0.500], [0.750, 0.750, 0.750], [0.250, 0.250, 0.250]]
}

---

No. 4
{
  "formula": "TbThAlTl",
  "functional": "PBE-GGA",
  "state": "optimized geometry",
  "delta_e_f_ev_per_fu": -0.8,
  "sg": "F-43m (216)",
  "n_ef_per_ev_atom": 0.989,
  "lattice_angstrom": [[0.000, 3.784, 3.784], [3.784, 0.000, 3.784], [3.784, 3.784, 0.000]],
  "species": ["Tb", "Th", "Al", "Tl"],
  "frac_coords": [[0.000, 0.000, 0.000], [0.500, 0.500, 0.500], [0.250, 0.250, 0.250], [0.750, 0.750, 0.750]]
}

---

No. 5
{
  "formula": "TbTmThAl",
  "functional": "PBE-GGA",
  "state": "optimized geometry",
  "delta_e_f_ev_per_fu": -0.1,
  "sg": "F-43m (216)",
  "n_ef_per_ev_atom": 1.482,
  "lattice_angstrom": [[0.000, 3.793, 3.793], [3.793, 0.000, 3.793], [3.793, 3.793, 0.000]],
  "species": ["Tb", "Tm", "Th", "Al"],
  "frac_coords": [[0.000, 0.000, 0.000], [0.750, 0.750, 0.750], [0.500, 0.500, 0.500], [0.250, 0.250, 0.250]]
}

---

No. 6
{
  "formula": "TbThAlZn",
  "functional": "PBE-GGA",
  "state": "optimized geometry",
  "delta_e_f_ev_per_fu": -1.2,
  "sg": "F-43m (216)",
  "n_ef_per_ev_atom": 0.338,
  "lattice_angstrom": [[0.000, 3.656, 3.656], [3.656, 0.000, 3.656], [3.656, 3.656, 0.000]],
  "species": ["Tb", "Th", "Al", "Zn"],
  "frac_coords": [[0.000, 0.000, 0.000], [0.500, 0.500, 0.500], [0.750, 0.750, 0.750], [0.250, 0.250, 0.250]]
}

---

No. 7
{
  "formula": "Tb2ThAl2Zn2",
  "functional": "PBE-GGA",
  "state": "optimized geometry",
  "delta_e_f_ev_per_fu": -1.9,
  "sg": "R-3m (166)",
  "n_ef_per_ev_atom": 0.614,
  "lattice_angstrom": [[2.236, 1.291, 9.562], [-2.236, 1.291, 9.562], [0.000, -2.582, 9.562]],
  "species": ["Tb", "Tb", "Th", "Al", "Al", "Zn", "Zn"],
  "frac_coords": [[0.129, 0.129, 0.129], [0.871, 0.871, 0.871], [0.000, 0.000, 0.000], [0.261, 0.261, 0.261], [0.739, 0.739, 0.739], [0.401, 0.401, 0.401], [0.599, 0.599, 0.599]]
}

---

No. 8
{
  "formula": "Tb2Th2Al4Zn",
  "functional": "PBE-GGA",
  "state": "optimized geometry",
  "delta_e_f_ev_per_fu": -1.0,
  "sg": "I4/mmm (139)",
  "n_ef_per_ev_atom": 0.777,
  "lattice_angstrom": [[-3.484, 3.484, 4.513], [3.484, -3.484, 4.513], [3.484, 3.484, -4.513]],
  "species": ["Tb", "Tb", "Th", "Th", "Al", "Al", "Al", "Al", "Zn"],
  "frac_coords": [[0.194, 0.194, 0.000], [0.806, 0.806, 0.000], [0.250, 0.750, 0.500], [0.750, 0.250, 0.500], [0.254, 0.254, 0.509], [0.254, 0.746, 0.000], [0.746, 0.254, 0.000], [0.746, 0.746, 0.491], [0.500, 0.500, 0.000]]
}